A plane-wave DFT calculation with GGA+U was carried out for an optimized crystal structure of MnV2Pb2O8.

Unit cell a=6.3801 b=7.5986 c=8.7362 alpha=104.89 beta=90.00 gamma=90.00
Site moments in Bohr magnetons follow the coordinates.
Positions (direct):
Mn1 0.5402 0.8385 0.9725  4.55
Mn2 0.0402 0.1615 0.0275  4.55
V1 0.2241 0.4919 0.8487  0.10
V2 0.7241 0.5081 0.1513  0.10
V3 0.2526 0.9330 0.6750  0.09
V4 0.7526 0.0670 0.3250  0.09
Pb1 0.2224 0.7837 0.2715  0.00
Pb2 0.7224 0.2163 0.7285  0.00
Pb3 0.3224 0.3529 0.4546  0.00
Pb4 0.8224 0.6471 0.5454  0.00
O1 0.1951 0.7139 0.5542  0.00
O2 0.6951 0.2861 0.4458  0.00
O3 0.2933 0.0662 0.5455  0.00
O4 0.7933 0.9338 0.4545  0.00
O5 0.2343 0.3435 0.9669  -0.01
O6 0.7343 0.6565 0.0331  -0.01
O7 0.2464 0.7147 0.9741  0.01
O8 0.7464 0.2853 0.0259  0.01
O9 0.4890 0.9354 0.7807  -0.01
O10 0.5317 0.9976 0.2047  0.00
O11 0.9890 0.0646 0.2193  -0.01
O12 0.0317 0.0024 0.7953  0.00
O13 0.4446 0.4541 0.7206  0.01
O14 0.5041 0.5506 0.2753  0.00
O15 0.9446 0.5459 0.2794  0.01
O16 0.0041 0.4494 0.7247  0.00

Calculated values
ΔE to the lowest computed polymorph, meV per atom: 0.0
Total energy, eV for the cell shown: -182.91